(1)
Here is a relaxed Ce3Sm2HoP6 crystal from the Alexandria database. Energies are from GGA-PBE.

Unit cell a=7.0641 b=7.0641 c=7.0540 alpha=99.61 beta=99.61 gamma=120.01
Closest atoms and distances in Å follow each position.
Element x y z (fractional)
P (0.7549, 0.7549, 0.2518)  1 Ho 2.86, 3 Ce 2.87-2.90, 2 Sm 2.90
P (0.5873, 0.9165, 0.7491)  1 Ho 2.86, 3 Ce 2.87-2.90, 2 Sm 2.90
P (0.0835, 0.4127, 0.2509)  1 Ho 2.86, 3 Ce 2.87-2.90, 2 Sm 2.90
Sm (0.3336, 0.6664, 0.0000)  6 P 2.90
P (0.4127, 0.0835, 0.2509)  1 Ho 2.86, 3 Ce 2.87-2.90, 2 Sm 2.90
Ce (0.5000, 0.5000, 0.5000)  6 P 2.87-2.90
P (0.2451, 0.2451, 0.7482)  1 Ho 2.86, 3 Ce 2.87-2.90, 2 Sm 2.90
Sm (0.6664, 0.3336, 0.0000)  6 P 2.90
Ce (0.8326, 0.1674, 0.5000)  6 P 2.87-2.90
P (0.9165, 0.5873, 0.7491)  1 Ho 2.86, 3 Ce 2.87-2.90, 2 Sm 2.90
Ce (0.1674, 0.8326, 0.5000)  6 P 2.87-2.90
Ho (0.0000, 0.0000, 0.0000)  6 P 2.86

The value obtained for the final energy is -82.83 eV for the cell shown. Its density of states at the Fermi level is 14.2 states/eV/cell.

=====

(2)
Here is a relaxed CeSm3Ho2P6 crystal from the Alexandria database. Energies are from GGA-PBE.

Unit cell a=7.0285 b=7.0285 c=7.0402 alpha=99.58 beta=99.58 gamma=119.99
Closest atoms and distances in Å follow each position.
Element x y z (fractional)
P (0.5855, 0.9190, 0.7567)  2 Ho 2.85, 1 Ce 2.85, 3 Sm 2.90
Sm (0.8334, 0.1666, 0.5000)  6 P 2.90
Ho (0.6666, 0.3334, 0.0000)  6 P 2.84-2.85
P (0.7474, 0.7474, 0.2423)  2 Ho 2.84, 1 Ce 2.84, 3 Sm 2.90
P (0.2526, 0.2526, 0.7577)  2 Ho 2.84, 1 Ce 2.84, 3 Sm 2.90
Ho (0.3334, 0.6666, 0.0000)  6 P 2.84-2.85
P (0.0810, 0.4145, 0.2433)  2 Ho 2.85, 1 Ce 2.85, 3 Sm 2.90
P (0.9190, 0.5855, 0.7567)  2 Ho 2.85, 1 Ce 2.85, 3 Sm 2.90
Sm (0.5000, 0.5000, 0.5000)  6 P 2.90
Sm (0.1666, 0.8334, 0.5000)  6 P 2.90
P (0.4145, 0.0810, 0.2433)  2 Ho 2.85, 1 Ce 2.85, 3 Sm 2.90
Ce (0.0000, 0.0000, 0.0000)  6 P 2.84-2.85

The value obtained for the final energy is -80.66 eV for the cell shown. Its density of states at the Fermi level is 5.1 states/eV/cell.